(1)
A plane-wave DFT calculation with PBE was carried out for crystalline Y2HgGe at its relaxed geometry.

Space-group type: R-3m, No. 166
DFT formation energy, eV per formula unit: -2.3
Uncorrected energy, eV/atom: -5.05

abc: 4.2914 4.2914 7.3659
angles: 73.06 73.06 60.00
Last column: nearest neighbours and their distance in Å.
Fractional coordinates of all 4 atoms:
Y 0.7371 0.7371 0.7888  3 Ge 2.88, 3 Hg 3.19
Y 0.2629 0.2629 0.2112  3 Ge 2.88, 3 Hg 3.19
Hg 0.5000 0.5000 0.5000  6 Y 3.19
Ge 0.0000 0.0000 0.0000  6 Y 2.88

(2)
A plane-wave DFT calculation with PBE was carried out for crystalline YHg2Ge at its relaxed geometry.

Space-group type: R-3m, No. 166
DFT formation energy, eV per formula unit: 1.0
Uncorrected energy, eV/atom: -2.67

abc: 3.3636 3.3636 10.9987
angles: 81.20 81.20 60.00
Last column: nearest neighbours and their distance in Å.
Fractional coordinates of all 4 atoms:
Ge 0.5000 0.5000 0.5000  6 Hg 3.06, 6 Ge 3.36
Hg 0.0939 0.0939 0.7183  1 Y 3.05, 3 Ge 3.06, 6 Hg 3.36
Hg 0.9061 0.9061 0.2817  1 Y 3.05, 3 Ge 3.06, 6 Hg 3.36
Y 0.0000 0.0000 0.0000  2 Hg 3.05, 6 Y 3.36